Below is a relaxed structure of MnI3O, with properties calculated at the PBE+U level.

Cell lengths 5.5921, 5.5921, 5.5921 Å; angles 90.00, 90.00, 90.00 degrees
Closest atoms and distances in Å follow each position.
Fractional positions:
I (0.0000, 0.5000, 0.0000)  2 Mn 2.80
I (0.5000, 0.0000, 0.0000)  2 Mn 2.80
I (0.0000, 0.0000, 0.5000)  2 Mn 2.80
Mn (0.0000, 0.0000, 0.0000)  6 I 2.80
O (0.5000, 0.5000, 0.5000)  12 I 3.95

Results
Polymorph energy (0 for the lowest one) = 0.240 eV per atom

Below is a relaxed structure of Mn2IO, with properties calculated at the PBE+U level.

Cell lengths 5.6600, 5.6600, 6.9406 Å; angles 65.94, 65.94, 90.00 degrees
Closest atoms and distances in Å follow each position.
Fractional positions:
Mn (0.8750, 0.7133, 0.7500)  2 O 2.06
Mn (0.2867, 0.6250, 0.2500)  2 O 2.06
Mn (0.3750, 0.5367, 0.7500)  2 O 2.06
Mn (0.4633, 0.1250, 0.2500)  2 O 2.06
O (0.5000, 0.5000, 0.0000)  4 Mn 2.06
O (0.2500, 0.7500, 0.5000)  4 Mn 2.06
I (0.0000, 0.0000, 0.0000)  4 Mn 3.07
I (0.7500, 0.2500, 0.5000)  4 Mn 3.07

Results
Polymorph energy (0 for the lowest one) = 0.000 eV per atom

Below is a relaxed structure of MnI2O4, with properties calculated at the PBE+U level.

Cell lengths 7.5263, 6.4674, 6.2335 Å; angles 62.86, 90.00, 90.00 degrees
Closest atoms and distances in Å follow each position.
Fractional positions:
Mn (0.0000, 0.0000, 0.0000)  4 O 1.88-1.90
Mn (0.5000, 0.0000, 0.5000)  4 O 1.88-1.90
O (0.4680, 0.3131, 0.4307)  1 Mn 1.88, 1 I 2.03
O (0.5785, 0.0901, 0.1806)  1 Mn 1.90, 1 I 2.01
O (0.0785, 0.9099, 0.3194)  1 Mn 1.90, 1 I 2.01
O (0.4215, 0.9099, 0.8194)  1 Mn 1.90, 1 I 2.01
O (0.9680, 0.6869, 0.0693)  1 Mn 1.88, 1 I 2.03
O (0.5320, 0.6869, 0.5693)  1 Mn 1.88, 1 I 2.03
O (0.9215, 0.0901, 0.6806)  1 Mn 1.90, 1 I 2.01
O (0.0320, 0.3131, 0.9307)  1 Mn 1.88, 1 I 2.03
I (0.5320, 0.3684, 0.8611)  2 O 2.01-2.03
I (0.0320, 0.6316, 0.6389)  2 O 2.01-2.03
I (0.4680, 0.6316, 0.1389)  2 O 2.01-2.03
I (0.9680, 0.3684, 0.3611)  2 O 2.01-2.03

Results
Polymorph energy (0 for the lowest one) = 0.000 eV per atom

Below is a relaxed structure of MnIO4, with properties calculated at the PBE+U level.

Cell lengths 5.1190, 5.1964, 6.4187 Å; angles 111.99, 111.59, 94.35 degrees
Closest atoms and distances in Å follow each position.
Fractional positions:
O (0.2614, 0.1302, 0.5791)  2 I 2.08-2.13, 1 Mn 2.20
O (0.1824, 0.5512, 0.4209)  2 I 2.08-2.13, 1 Mn 2.20
O (0.4630, 0.7114, 0.9289)  2 Mn 1.92-2.07
O (0.7386, 0.8698, 0.4209)  2 I 2.08-2.13, 1 Mn 2.20
O (0.5370, 0.2886, 0.0711)  2 Mn 1.92-2.07
O (0.8176, 0.4488, 0.5791)  2 I 2.08-2.13, 1 Mn 2.20
O (0.0341, 0.7824, 0.0711)  2 Mn 1.92-2.07
O (0.9659, 0.2176, 0.9289)  2 Mn 1.92-2.07
Mn (0.6807, 0.4307, 0.8615)  4 O 1.92-2.07
Mn (0.3193, 0.5693, 0.1385)  4 O 1.92-2.07
I (0.9017, 0.1517, 0.3034)  6 O 2.08-2.27
I (0.0983, 0.8483, 0.6966)  6 O 2.08-2.27

Results
Polymorph energy (0 for the lowest one) = 0.086 eV per atom

Below is a relaxed structure of Mn3I2O2, with properties calculated at the PBE+U level.

Cell lengths 3.9815, 6.6745, 6.4520 Å; angles 69.46, 107.97, 90.00 degrees
Closest atoms and distances in Å follow each position.
Fractional positions:
O (0.1524, 0.0700, 0.3048)  4 Mn 2.09-2.14
O (0.8476, 0.9300, 0.6952)  4 Mn 2.09-2.14
Mn (0.6730, 0.1668, 0.3461)  3 O 2.14
Mn (0.0000, 0.0000, 0.0000)  2 O 2.09
Mn (0.3270, 0.8332, 0.6539)  3 O 2.14
I (0.6083, 0.6530, 0.2166)  4 Mn 2.97-3.21
I (0.3917, 0.3470, 0.7834)  4 Mn 2.97-3.21

Results
Electronic total energy = -6.170 eV/atom

Below is a relaxed structure of MnI2O, with properties calculated at the PBE+U level.

Cell lengths 7.2731, 7.2731, 6.8171 Å; angles 57.76, 57.76, 90.00 degrees
Closest atoms and distances in Å follow each position.
Fractional positions:
Mn (0.7500, 0.2500, 0.5000)  4 I 2.77
Mn (0.0000, 0.0000, 0.0000)  4 I 2.77
I (0.3750, 0.3670, 0.7500)  2 Mn 2.77, 2 O 2.84
I (0.8750, 0.8830, 0.7500)  2 Mn 2.77, 2 O 2.84
I (0.1170, 0.6250, 0.2500)  2 Mn 2.77, 2 O 2.84
I (0.6330, 0.1250, 0.2500)  2 Mn 2.77, 2 O 2.84
O (0.5000, 0.5000, 0.0000)  4 I 2.84
O (0.2500, 0.7500, 0.5000)  4 I 2.84

Results
Polymorph energy (0 for the lowest one) = 0.000 eV per atom